1.
! SrHfH3 PBE relaxed; values from VASP
&SYSTEM
  ibrav = 0, nat = 5, ntyp = 3
/
ATOMIC_SPECIES
Sr 87.62 Sr.upf
Hf 178.49 Hf.upf
H 1.01 H.upf
ATOMIC_POSITIONS angstrom
Sr 0.0000 0.0000 0.0000
Hf 2.0966 2.0966 2.0966
H 0.0000 2.0966 0.0000
H 0.0000 0.0000 2.0966
H 2.0966 0.0000 0.0000
CELL_PARAMETERS angstrom
4.1933 0.0000 0.0000
0.0000 4.1933 0.0000
0.0000 0.0000 4.1933
! Energy in eV/atom: -3.67
! Symmetry: Pm-3m, No. 221
! D(E_F) in states/eV/f.u.: 10.048
! Crystal system: cubic

2.
! Sr3HfH PBE relaxed; values from VASP
&SYSTEM
  ibrav = 0, nat = 5, ntyp = 3
/
ATOMIC_SPECIES
Sr 87.62 Sr.upf
Hf 178.49 Hf.upf
H 1.01 H.upf
ATOMIC_POSITIONS angstrom
Sr 0.2232 -2.6218 -0.5641
Sr -1.7844 -0.5678 1.9327
Sr -2.0020 0.2137 -1.7855
Hf -3.5632 -2.9759 -0.4170
H 0.0000 0.0000 0.0000
CELL_PARAMETERS angstrom
-4.0040 0.4275 -3.5711
0.4465 -5.2436 -1.1283
-3.5688 -1.1356 3.8655
! Energy in eV/atom: -3.34
! Symmetry: Pm-3m, No. 221
! D(E_F) in states/eV/f.u.: 9.938
! Crystal system: cubic

3.
! SrHfH3 PBE relaxed; values from VASP
&SYSTEM
  ibrav = 0, nat = 5, ntyp = 3
/
ATOMIC_SPECIES
Sr 87.62 Sr.upf
Hf 178.49 Hf.upf
H 1.01 H.upf
ATOMIC_POSITIONS angstrom
Sr 0.4852 -3.4040 -0.7072
Hf 0.0000 0.0000 0.0000
H -0.8548 -1.0095 -1.5355
H 1.7834 -0.8643 -0.4245
H -0.4434 -1.5302 1.2528
CELL_PARAMETERS angstrom
-0.8868 -3.0604 2.5057
-1.7095 -2.0191 -3.0711
3.5668 -1.7286 -0.8490
! Energy in eV/atom: -4.52
! Symmetry: Pm-3m, No. 221
! D(E_F) in states/eV/f.u.: 3.556
! Crystal system: cubic

4.
! SrHfH2 PBE relaxed; values from VASP
&SYSTEM
  ibrav = 0, nat = 4, ntyp = 3
/
ATOMIC_SPECIES
Sr 87.62 Sr.upf
Hf 178.49 Hf.upf
H 1.01 H.upf
ATOMIC_POSITIONS angstrom
Sr 0.0000 0.0000 0.0000
Hf 3.1886 3.1886 3.1886
H 1.5943 1.5943 1.5943
H 4.7830 4.7830 4.7830
CELL_PARAMETERS angstrom
0.0000 3.1886 3.1886
3.1886 0.0000 3.1886
3.1886 3.1886 0.0000
! Energy in eV/atom: -3.84
! Symmetry: Fm-3m, No. 225
! D(E_F) in states/eV/f.u.: 3.416
! Crystal system: cubic

5.
! Sr2HfH PBE relaxed; values from VASP
&SYSTEM
  ibrav = 0, nat = 4, ntyp = 3
/
ATOMIC_SPECIES
Sr 87.62 Sr.upf
Hf 178.49 Hf.upf
H 1.01 H.upf
ATOMIC_POSITIONS angstrom
Sr 2.5572 0.9812 2.0942
Sr 7.6717 2.9435 6.2826
Hf 5.1144 1.9624 4.1884
H 0.0000 0.0000 0.0000
CELL_PARAMETERS angstrom
5.3509 -0.9427 1.4764
3.2987 4.3001 1.5260
1.5793 0.5673 5.3745
! Energy in eV/atom: -3.08
! Symmetry: Fm-3m, No. 225
! D(E_F) in states/eV/f.u.: 3.832
! Crystal system: cubic

6.
! SrHfH2 PBE relaxed; values from VASP
&SYSTEM
  ibrav = 0, nat = 8, ntyp = 3
/
ATOMIC_SPECIES
Sr 87.62 Sr.upf
Hf 178.49 Hf.upf
H 1.01 H.upf
ATOMIC_POSITIONS angstrom
Sr -3.3592 -1.2207 -1.6401
Sr -6.5502 -0.5321 -0.3313
Hf 0.0000 0.0000 0.0000
Hf -5.2945 0.7255 -3.8393
H -3.3321 0.3747 -3.5957
H -4.2698 -0.8884 0.6904
H -6.0153 1.2479 -2.0390
H -10.0720 -0.3474 -3.3968
CELL_PARAMETERS angstrom
-2.1035 0.0369 -5.1480
-4.6149 -2.4783 1.8679
-5.1263 2.6348 -0.8904
! Energy in eV/atom: -4.64
! Symmetry: I-42d, No. 122
! D(E_F) in states/eV/f.u.: 2.433
! Crystal system: tetragonal

7.
! Sr2HfVH PBE relaxed; values from VASP
&SYSTEM
  ibrav = 0, nat = 5, ntyp = 4
/
ATOMIC_SPECIES
Sr 87.62 Sr.upf
Hf 178.49 Hf.upf
H 1.01 H.upf
V 50.94 V.upf
ATOMIC_POSITIONS angstrom
Sr 0.0000 0.0000 2.4085
Sr 2.4085 0.0000 0.0000
Hf 2.4085 2.4435 2.4085
H 0.0000 0.0000 0.0000
V 0.0000 2.4435 0.0000
CELL_PARAMETERS angstrom
4.8169 0.0000 0.0000
0.0000 4.8869 0.0000
0.0000 0.0000 4.8169
! Energy in eV/atom: -4.38
! Symmetry: P4/mmm, No. 123
! D(E_F) in states/eV/f.u.: 7.626
! Crystal system: tetragonal

8.
! SrYHfH2 PBE relaxed; values from VASP
&SYSTEM
  ibrav = 0, nat = 5, ntyp = 4
/
ATOMIC_SPECIES
Y 88.91 Y.upf
Sr 87.62 Sr.upf
Hf 178.49 Hf.upf
H 1.01 H.upf
ATOMIC_POSITIONS angstrom
Y 0.0000 0.0000 0.0000
Sr 0.8382 -3.8175 -1.8473
Hf 2.3952 -1.0921 -1.2406
H -0.3114 -1.9442 1.1104
H -1.2455 -0.7811 -1.7170
CELL_PARAMETERS angstrom
-2.4911 -1.5623 -3.4340
4.7903 -2.1843 -2.4812
-0.6228 -3.8884 2.2207
! Energy in eV/atom: -4.32
! Symmetry: P4/mmm, No. 123
! D(E_F) in states/eV/f.u.: 4.982
! Crystal system: tetragonal

9.
! HfTaH2 PBE relaxed; values from VASP
&SYSTEM
  ibrav = 0, nat = 8, ntyp = 3
/
ATOMIC_SPECIES
H 1.01 H.upf
Hf 178.49 Hf.upf
Ta 180.95 Ta.upf
ATOMIC_POSITIONS angstrom
H 1.2637 -3.7818 -0.9387
H 3.6437 -1.0809 -1.2747
H 4.2325 -4.0534 -0.4891
H 6.4029 -6.2061 -2.4194
Hf 2.0435 -2.1643 -1.8658
Hf 5.0710 -2.4982 -1.4698
Ta 0.0000 0.0000 0.0000
Ta 2.7004 -5.0629 -1.0911
CELL_PARAMETERS angstrom
-0.3271 -4.7290 -1.4871
4.4140 0.4005 -2.2445
3.6845 -3.2326 1.1707
! Energy in eV/atom: -7.38
! Symmetry: I-42d, No. 122
! D(E_F) in states/eV/f.u.: 2.017
! Crystal system: tetragonal

10.
! HfTaH3 PBE relaxed; values from VASP
&SYSTEM
  ibrav = 0, nat = 20, ntyp = 3
/
ATOMIC_SPECIES
Hf 178.49 Hf.upf
Ta 180.95 Ta.upf
H 1.01 H.upf
ATOMIC_POSITIONS angstrom
Hf -0.7895 5.0777 2.0628
Hf 4.7630 -0.0424 4.5141
Hf 3.1657 1.9566 2.0628
Hf 0.8078 3.0788 4.5141
Ta 3.7876 2.7759 4.9402
Ta 1.7951 0.2510 4.0879
Ta 0.1859 2.2594 1.6367
Ta 2.1783 4.7843 2.4890
H -1.8874 4.3101 5.0750
H -1.0165 5.4138 3.9531
H 5.8609 0.7252 1.5019
H 4.9900 -0.3784 2.6238
H 4.6165 1.6918 3.4619
H 3.7605 0.6072 0.6638
H -0.6430 3.3435 3.1150
H 0.2129 4.4282 5.9131
H 2.3082 3.7935 5.6279
H 0.4615 1.4532 3.4002
H 1.6653 1.2419 0.9490
H 3.5120 3.5821 3.1767
CELL_PARAMETERS angstrom
6.1693 -0.0443 0.8372
-1.4775 5.9899 0.8372
-0.7183 -0.9103 4.9025
! Energy in eV/atom: -6.57
! Symmetry: C2/c, No. 15
! D(E_F) in states/eV/f.u.: 1.737
! Crystal system: monoclinic

11.
! HfTa2H2 PBE relaxed; values from VASP
&SYSTEM
  ibrav = 0, nat = 10, ntyp = 3
/
ATOMIC_SPECIES
H 1.01 H.upf
Hf 178.49 Hf.upf
Ta 180.95 Ta.upf
ATOMIC_POSITIONS angstrom
H 0.7123 4.3333 1.3904
H 4.3333 6.5296 1.3904
H 6.5296 2.9086 1.3904
H 2.9086 0.7123 1.3904
Hf 0.0000 0.0000 0.0000
Hf 3.6209 3.6209 0.0000
Ta 2.6864 6.3073 0.0000
Ta 6.3073 4.5555 0.0000
Ta 4.5555 0.9346 0.0000
Ta 0.9346 2.6864 0.0000
CELL_PARAMETERS angstrom
7.2419 0.0000 0.0000
0.0000 7.2419 0.0000
0.0000 0.0000 2.7808
! Energy in eV/atom: -7.27
! Symmetry: P4/mbm, No. 127
! D(E_F) in states/eV/f.u.: 4.293
! Crystal system: tetragonal

12.
! HfTaH2 PBE relaxed; values from VASP
&SYSTEM
  ibrav = 0, nat = 8, ntyp = 3
/
ATOMIC_SPECIES
Hf 178.49 Hf.upf
Ta 180.95 Ta.upf
H 1.01 H.upf
ATOMIC_POSITIONS angstrom
Hf -4.5673 1.6697 -0.7006
Hf -5.2967 -1.1478 -1.9890
Ta -3.3444 -2.8117 -3.7226
Ta -2.2552 -0.9751 -1.7279
H -5.9399 -2.9765 -1.5164
H -3.7953 -1.6582 -0.7779
H -5.2064 -0.1704 -0.2195
H -3.0619 1.1480 0.5191
CELL_PARAMETERS angstrom
-0.8622 2.3505 -1.6922
-2.1786 -3.6723 -3.9902
-4.4915 0.1220 2.4584
! Energy in eV/atom: -7.29
! Symmetry: P2/c, No. 13
! D(E_F) in states/eV/f.u.: 2.202
! Crystal system: monoclinic

13.
! HfTaH4 PBE relaxed; values from VASP
&SYSTEM
  ibrav = 0, nat = 12, ntyp = 3
/
ATOMIC_SPECIES
Hf 178.49 Hf.upf
Ta 180.95 Ta.upf
H 1.01 H.upf
ATOMIC_POSITIONS angstrom
Hf 1.1483 3.4469 -0.2087
Hf 3.4564 1.1451 -0.0702
Ta 1.1505 1.2844 2.2342
Ta -1.1518 -1.0116 2.3737
H -0.0009 0.0716 1.2069
H -0.0019 2.3712 1.0716
H 2.3062 0.0694 1.2102
H 2.3014 2.3676 1.0675
H -0.0051 2.4993 3.2582
H -0.0004 0.2011 3.4009
H 2.3020 2.4971 3.2615
H 2.3030 0.1975 3.3967
CELL_PARAMETERS angstrom
4.6105 -0.0058 -0.0009
-0.0057 4.5978 -0.2780
-2.3036 -2.0232 4.7473
! Energy in eV/atom: -6.17
! Symmetry: P2/m, No. 10
! D(E_F) in states/eV/f.u.: 2.128
! Crystal system: monoclinic

14.
! HfTaH PBE relaxed; values from VASP
&SYSTEM
  ibrav = 0, nat = 18, ntyp = 3
/
ATOMIC_SPECIES
H 1.01 H.upf
Hf 178.49 Hf.upf
Ta 180.95 Ta.upf
ATOMIC_POSITIONS angstrom
H 4.5042 4.3895 2.8515
H 2.4608 1.5618 1.6055
H 4.9279 6.2371 5.5537
H 5.4912 2.1357 2.5935
H 6.8210 6.8198 6.5146
H 5.3448 1.6752 6.1235
Hf 3.7076 0.2353 0.6704
Hf 3.6462 5.3312 1.2155
Hf 3.6308 7.5956 3.1801
Hf 3.6822 4.9286 4.5951
Hf 6.2065 2.6164 4.4886
Hf 6.2133 4.8791 6.4545
Ta 6.2287 5.3059 2.9731
Ta 3.6606 2.6688 2.6231
Ta 8.6535 7.3492 6.5495
Ta 1.2467 2.9134 0.9345
Ta 6.1300 7.5889 4.8604
Ta 3.6252 2.6016 6.2437
CELL_PARAMETERS angstrom
4.9289 -0.0072 0.0024
2.4546 7.3918 0.6547
2.4648 1.9737 7.1968
! Energy in eV/atom: -8.50
! Symmetry: P1, No. 1
! D(E_F) in states/eV/f.u.: 2.019
! Crystal system: triclinic

15.
! HfTaH3 PBE relaxed; values from VASP
&SYSTEM
  ibrav = 0, nat = 5, ntyp = 3
/
ATOMIC_SPECIES
H 1.01 H.upf
Hf 178.49 Hf.upf
Ta 180.95 Ta.upf
ATOMIC_POSITIONS angstrom
H 0.0000 1.8116 0.0000
H 0.0000 0.0000 1.8116
H 1.8116 0.0000 0.0000
Hf 1.8116 1.8116 1.8116
Ta 0.0000 0.0000 0.0000
CELL_PARAMETERS angstrom
3.6232 0.0000 0.0000
0.0000 3.6232 0.0000
0.0000 0.0000 3.6232
! Energy in eV/atom: -6.40
! Symmetry: Pm-3m, No. 221
! D(E_F) in states/eV/f.u.: 1.261
! Crystal system: cubic

16.
! HfTaH4 PBE relaxed; values from VASP
&SYSTEM
  ibrav = 0, nat = 12, ntyp = 3
/
ATOMIC_SPECIES
Hf 178.49 Hf.upf
Ta 180.95 Ta.upf
H 1.01 H.upf
ATOMIC_POSITIONS angstrom
Hf 0.9557 2.6072 -0.3918
Hf 2.2439 1.6197 2.4519
Ta -0.3447 3.5793 2.4519
Ta 3.5443 0.6476 -0.3918
H 3.9435 1.1207 3.4341
H 1.3364 3.1653 3.3952
H 0.5100 2.0735 1.5086
H 2.6896 2.1534 0.5515
H 0.0138 4.1075 0.5901
H 1.8632 1.0615 -1.3351
H 3.1857 0.1194 1.4700
H -0.7439 3.1061 -1.3740
CELL_PARAMETERS angstrom
4.1945 0.1615 -1.8135
-0.9828 4.0806 -1.8139
-0.0122 -0.0153 5.6875
! Energy in eV/atom: -6.17
! Symmetry: Fddd, No. 70
! D(E_F) in states/eV/f.u.: 1.703
! Crystal system: orthorhombic

17.
! HfTaH3 PBE relaxed; values from VASP
&SYSTEM
  ibrav = 0, nat = 20, ntyp = 3
/
ATOMIC_SPECIES
Hf 178.49 Hf.upf
Ta 180.95 Ta.upf
H 1.01 H.upf
ATOMIC_POSITIONS angstrom
Hf -6.1287 4.5809 9.0160
Hf -5.4937 0.3702 6.3804
Hf -2.1362 -2.7391 1.8708
Hf -2.7712 1.4717 4.5064
Ta -3.1859 0.3165 1.4651
Ta -4.4341 -1.1835 3.6190
Ta -5.0790 1.5253 9.4217
Ta -3.8308 3.0254 7.2678
H -5.8001 2.4739 7.7035
H -1.6953 1.5571 2.2469
H -2.4648 -0.6320 3.1833
H -5.0305 4.6630 6.7671
H -5.2755 3.2653 10.3313
H -3.6658 1.2900 6.3432
H -2.2996 0.5387 -0.2839
H -5.2888 -1.4104 5.3829
H -2.9760 3.2522 5.5039
H -5.9652 1.3031 11.1707
H -4.5991 0.5518 4.5436
H -2.9894 -1.4235 0.5555
CELL_PARAMETERS angstrom
-2.6794 0.3955 -1.2773
-1.5390 -4.3782 1.8728
-4.0464 5.8246 10.2913
! Energy in eV/atom: -6.58
! Symmetry: Pbcm, No. 57
! D(E_F) in states/eV/f.u.: 2.515
! Crystal system: orthorhombic

18.
! Hf3TaH7 PBE relaxed; values from VASP
&SYSTEM
  ibrav = 0, nat = 22, ntyp = 3
/
ATOMIC_SPECIES
Hf 178.49 Hf.upf
Ta 180.95 Ta.upf
H 1.01 H.upf
ATOMIC_POSITIONS angstrom
Hf -6.5388 2.8349 -2.8688
Hf 0.0000 0.0000 0.0000
Hf -1.2824 3.2610 -0.3326
Hf -2.0462 0.8619 -2.2846
Hf -6.9493 3.0798 1.1154
Hf -2.4568 1.1069 1.6996
Ta -3.2154 -1.2901 -0.2520
Ta -4.4978 1.9709 -0.5846
H -4.1625 0.5258 2.5790
H -5.4507 3.7845 2.2459
H -3.0362 2.6498 0.5268
H -1.7601 -0.5954 0.8578
H -7.4392 4.6587 -0.0504
H -6.1630 1.4135 0.2806
H -4.3727 3.9088 -0.6909
H -4.6228 0.0329 -0.4784
H -1.5564 -0.7169 -1.1189
H -2.8325 2.5283 -1.4499
H -7.2355 4.5372 -2.0270
H -5.9593 1.2920 -1.6960
H -3.5449 0.1573 -3.4152
H -4.8331 3.4160 -3.7482
CELL_PARAMETERS angstrom
-2.8038 -1.5357 -4.2468
-3.6270 -1.0446 3.7427
-2.5647 6.5221 -0.6652
! Energy in eV/atom: -6.30
! Symmetry: Cmcm, No. 63
! D(E_F) in states/eV/f.u.: 2.193
! Crystal system: orthorhombic

19.
! Hf3Ta2H4 PBE relaxed; values from VASP
&SYSTEM
  ibrav = 0, nat = 18, ntyp = 3
/
ATOMIC_SPECIES
Hf 178.49 Hf.upf
Ta 180.95 Ta.upf
H 1.01 H.upf
ATOMIC_POSITIONS angstrom
Hf 6.0838 6.6571 -0.1817
Hf 3.5283 5.2077 -1.2195
Hf 0.8469 0.3418 5.1928
Hf 3.4024 1.7913 6.2306
Hf 2.1246 4.0584 1.5331
Hf 4.8061 2.9406 3.4780
Ta 2.4757 1.2946 2.5529
Ta 1.7736 3.9834 4.4780
Ta 4.4550 5.7043 2.4582
Ta 5.1571 3.0156 0.5331
H 3.1725 5.7303 0.8962
H 1.0767 4.1225 -0.2550
H 3.7582 1.2686 4.1149
H 5.8539 2.8765 5.2660
H 0.7228 1.0282 3.1806
H 3.5264 3.4750 4.9325
H 6.2079 5.9708 1.8304
H 3.4042 3.5240 0.0786
CELL_PARAMETERS angstrom
5.3629 0.3634 0.2602
0.7839 6.3859 -1.9098
0.7839 0.2497 6.6607
! Energy in eV/atom: -7.56
! Symmetry: C2/c, No. 15
! D(E_F) in states/eV/f.u.: 4.821
! Crystal system: monoclinic

20.
! Hf2TaH4 PBE relaxed; values from VASP
&SYSTEM
  ibrav = 0, nat = 7, ntyp = 3
/
ATOMIC_SPECIES
H 1.01 H.upf
Hf 178.49 Hf.upf
Ta 180.95 Ta.upf
ATOMIC_POSITIONS angstrom
H 1.7774 1.7774 3.7674
H 3.5548 3.5548 1.8709
H 0.0000 1.7774 0.0000
H 1.7774 0.0000 0.0000
Hf 1.7774 1.7774 1.8086
Hf 3.5548 3.5548 3.8297
Ta 0.0000 0.0000 0.0000
CELL_PARAMETERS angstrom
3.5548 0.0000 0.0000
0.0000 3.5548 0.0000
1.7774 1.7774 5.6383
! Energy in eV/atom: -6.56
! Symmetry: I4/mmm, No. 139
! D(E_F) in states/eV/f.u.: 1.942
! Crystal system: tetragonal

21.
! HfTaH6 PBE relaxed; values from VASP
&SYSTEM
  ibrav = 0, nat = 8, ntyp = 3
/
ATOMIC_SPECIES
Hf 178.49 Hf.upf
Ta 180.95 Ta.upf
H 1.01 H.upf
ATOMIC_POSITIONS angstrom
Hf 2.7742 2.5730 3.0533
Ta 0.0000 0.0000 0.0000
H 1.1626 2.3332 1.8653
H 2.4140 0.9840 1.8653
H 3.1344 4.1620 4.2413
H 4.3857 2.8128 4.2413
H 2.8965 2.6865 5.4560
H 2.6519 2.4596 0.6506
CELL_PARAMETERS angstrom
3.3216 0.4876 0.2497
0.7357 3.2756 0.2497
1.4910 1.3829 5.6071
! Energy in eV/atom: -5.34
! Symmetry: C2/m, No. 12
! D(E_F) in states/eV/f.u.: 2.201
! Crystal system: monoclinic

22.
! Hf3TaH3 PBE relaxed; values from VASP
&SYSTEM
  ibrav = 0, nat = 14, ntyp = 3
/
ATOMIC_SPECIES
Hf 178.49 Hf.upf
Ta 180.95 Ta.upf
H 1.01 H.upf
ATOMIC_POSITIONS angstrom
Hf -1.8926 -0.7531 5.6358
Hf -1.7077 0.0231 2.0650
Hf -3.0801 1.7653 4.2471
Hf -2.4426 -3.1496 1.3375
Hf -2.6275 -3.9258 4.9083
Hf -1.2551 -5.6680 2.7262
Ta -3.8467 -1.3545 3.5293
Ta -0.4885 -2.5481 3.4440
H -3.6985 -2.1612 5.2980
H -3.5076 -1.3590 1.6095
H -4.8857 0.3747 3.8513
H -0.6368 -1.7415 1.6753
H -0.8276 -2.5437 5.3638
H 0.5505 -4.2774 3.1220
CELL_PARAMETERS angstrom
-3.9379 -2.2374 -0.6903
2.3349 -5.0495 3.0468
-2.7322 3.3842 4.6169
! Energy in eV/atom: -7.57
! Symmetry: Cmcm, No. 63
! D(E_F) in states/eV/f.u.: 6.062
! Crystal system: orthorhombic